(1)
# PBE HoMgPa2N5, optimized geometry
data_HoMgPa2N5
_chemical_formula_sum 'Ho4 Mg4 Pa8 N20'
_symmetry_space_group_name_H-M 'C m c 21'
_symmetry_Int_Tables_number 36
_cell_length_a 3.511
_cell_length_b 13.629
_cell_length_c 11.053
_cell_angle_alpha 90.00
_cell_angle_beta 90.00
_cell_angle_gamma 90.00
loop_
_symmetry_equiv_pos_as_xyz
'x,y,z'
'-x,-y,z+1/2'
'-x,y,z'
'x,-y,z+1/2'
'x+1/2,y+1/2,z'
'-x+1/2,-y+1/2,z+1/2'
'-x+1/2,y+1/2,z'
'x+1/2,-y+1/2,z+1/2'
loop_
_atom_site_label
_atom_site_fract_x
_atom_site_fract_y
_atom_site_fract_z
Ho1 0.000 0.219 0.000
Mg1 0.000 0.495 0.501
Pa1 0.000 0.124 0.257
Pa2 0.000 0.133 0.714
N1 0.000 0.061 0.076
N2 0.000 0.287 0.662
N3 0.000 0.294 0.348
N4 0.000 0.369 0.093
N5 0.000 0.469 0.812
# * VASP energy: -0.323 Ha/atom
# * mass density: 9.1 Mg/m³
# * formation energy from raw total energies: -12.38 eV/f.u.
# * total moment: 0.00 Bohr magnetons per cell

---

(2)
# PBE Rh2AuCl, optimized geometry
data_Rh2AuCl
_chemical_formula_sum 'Rh4 Au2 Cl2'
_symmetry_space_group_name_H-M 'C m m 2'
_symmetry_Int_Tables_number 35
_cell_length_a 2.831
_cell_length_b 5.001
_cell_length_c 9.617
_cell_angle_alpha 90.00
_cell_angle_beta 90.00
_cell_angle_gamma 90.00
loop_
_symmetry_equiv_pos_as_xyz
'x,y,z'
'-x,-y,z'
'-x,y,z'
'x,-y,z'
'x+1/2,y+1/2,z'
'-x+1/2,-y+1/2,z'
'-x+1/2,y+1/2,z'
'x+1/2,-y+1/2,z'
loop_
_atom_site_label
_atom_site_fract_x
_atom_site_fract_y
_atom_site_fract_z
Rh1 0.000 0.000 0.000
Rh2 0.000 0.500 0.227
Au1 0.000 0.500 0.745
Cl1 0.000 0.000 0.431
# * VASP energy: -0.170 Ha/atom
# * mass density: 10.7 Mg/m³
# * energy above the most stable polymorph in this dataset: 0.126 eV per atom
# * Fermi-level density of states: 9.75 states/eV/cell
# * formation energy from raw total energies: 1.28 eV/f.u.
# * total moment: 0.00 Bohr magnetons per cell